No. 1
{
  "formula": "RbRe3As",
  "functional": "SCAN",
  "state": "single point on PBEsol structure",
  "crystal_system": "cubic",
  "e_form_ev_per_atom": 4.498,
  "magnetic_moment_mub_per_atom": 0.41,
  "density_g_cm3": 11.840,
  "dos_ef_per_ev_fu": 5.029,
  "lattice": [[4.655, 0.000, 0.000], [0.000, 4.655, 0.000], [0.000, 0.000, 4.655]],
  "species": ["Re", "Re", "Re", "Rb", "As"],
  "frac_coords": [[0.500, 0.000, 0.000], [0.000, 0.500, 0.000], [0.000, 0.000, 0.500], [0.000, 0.000, 0.000], [0.500, 0.500, 0.500]]
}

No. 2
{
  "formula": "CuRhW",
  "functional": "SCAN",
  "state": "single point on PBEsol structure",
  "crystal_system": "tetragonal",
  "e_form_ev_per_atom": 0.082,
  "magnetic_moment_mub_per_atom": 0.00,
  "density_g_cm3": 14.316,
  "dos_ef_per_ev_fu": 2.775,
  "lattice": [[-1.318, 1.917, 1.489], [-2.025, -1.802, 0.528], [4.252, -1.677, 3.361]],
  "species": ["Rh", "Cu", "W"],
  "frac_coords": [[0.665, 0.665, 0.329], [0.002, 0.002, 0.004], [0.333, 0.333, 0.667]]
}

No. 3
{
  "formula": "ErGaNi",
  "functional": "SCAN",
  "state": "single point on PBEsol structure",
  "crystal_system": "orthorhombic",
  "e_form_ev_per_atom": -0.740,
  "magnetic_moment_mub_per_atom": 0.00,
  "density_g_cm3": 9.757,
  "dos_ef_per_ev_fu": 1.570,
  "lattice": [[4.192, 0.000, 0.000], [0.000, 6.642, 0.000], [0.000, 0.000, 7.229]],
  "species": ["Er", "Er", "Er", "Er", "Ga", "Ga", "Ga", "Ga", "Ni", "Ni", "Ni", "Ni"],
  "frac_coords": [[0.750, 0.479, 0.808], [0.250, 0.521, 0.192], [0.250, 0.021, 0.308], [0.750, 0.979, 0.692], [0.750, 0.831, 0.074], [0.750, 0.331, 0.426], [0.250, 0.669, 0.574], [0.250, 0.169, 0.926], [0.750, 0.716, 0.399], [0.750, 0.216, 0.101], [0.250, 0.284, 0.601], [0.250, 0.784, 0.899]]
}

No. 4
{
  "formula": "TePb4",
  "functional": "SCAN",
  "state": "single point on PBEsol structure",
  "crystal_system": "cubic",
  "formation_energy_uncorrected_ev_per_atom": 0.235,
  "magnetic_moment_mub_per_atom": 0.00,
  "relative_energy_mev_per_atom": 203.6,
  "density_g_cm3": 8.697,
  "dos_ef_per_ev_fu": 3.466,
  "lattice": [[-1.507, 5.992, 0.384], [-4.909, -3.243, -1.926], [1.768, -2.045, 5.569]],
  "species": ["Pb", "Pb", "Pb", "Pb", "Te"],
  "frac_coords": [[0.500, 0.500, 0.500], [0.500, 0.000, 0.000], [0.000, 0.000, 0.500], [0.000, 0.500, 0.000], [0.000, 0.000, 0.000]]
}

No. 5
{
  "formula": "MoAuBr3",
  "functional": "SCAN",
  "state": "single point on PBEsol structure",
  "crystal_system": "cubic",
  "formation_energy_uncorrected_ev_per_atom": 0.602,
  "magnetic_moment_mub_per_atom": 0.98,
  "density_g_cm3": 6.317,
  "dos_ef_per_ev_fu": 4.992,
  "lattice": [[-3.382, -3.162, 2.352], [3.885, -2.158, 2.685], [-0.658, 3.508, 3.771]],
  "species": ["Mo", "Au", "Br", "Br", "Br"],
  "frac_coords": [[0.500, 0.500, 0.500], [0.000, 0.000, 0.000], [0.000, 0.000, 0.500], [0.500, 0.000, 0.000], [0.000, 0.500, 0.000]]
}

No. 6
{
  "formula": "CsRb2H2",
  "functional": "SCAN",
  "state": "single point on PBEsol structure",
  "crystal_system": "tetragonal",
  "e_tot_ev_per_atom": -17.2125,
  "magnetic_moment_mub_per_atom": 0.19,
  "density_g_cm3": 3.171,
  "dos_ef_per_ev_fu": 1.013,
  "lattice": [[-0.976, -1.968, -3.961], [-5.329, -5.207, 3.901], [-6.248, 5.501, -1.194]],
  "species": ["Rb", "Rb", "Rb", "Rb", "H", "H", "H", "H", "Cs", "Cs"],
  "frac_coords": [[0.500, 0.149, 0.649], [0.500, 0.851, 0.351], [0.500, 0.649, 0.851], [0.500, 0.351, 0.149], [0.000, 0.163, 0.337], [0.000, 0.337, 0.837], [0.000, 0.663, 0.163], [0.000, 0.837, 0.663], [0.000, 0.500, 0.500], [0.000, 0.000, 0.000]]
}